# PBE MnBr, relaxed
data_MnBr
_chemical_formula_sum 'Mn4 Br4'
_cell_length_a 3.422
_cell_length_b 15.943
_cell_length_c 3.423
_cell_angle_alpha 90.00
_cell_angle_beta 90.00
_cell_angle_gamma 90.00
_space_group_name_H-M_alt 'C m c m'
_space_group_IT_number 63
_space_group_name_Hall '-C 2c 2'
loop_
_atom_site_label
_atom_site_type_symbol
_atom_site_fract_x
_atom_site_fract_y
_atom_site_fract_z
Mn1 Mn 0.000 0.204 0.250
Br1 Br 0.000 0.382 0.250
# Total DFT energy (no corrections)   -5.5022 eV/atom
# E_form (uncorrected)   -81 meV per atom
# Fermi-level density of states   1.2 states/eV/cell